# PBE+U CrSnP2O, optimized geometry
data_CrSnP2O
_chemical_formula_sum 'Cr1 Sn1 P2 O1'
_space_group_name_H-M_alt 'P 1'
_space_group_IT_number 1
_cell_length_a 4.952
_cell_length_b 4.952
_cell_length_c 3.583
_cell_angle_alpha 90.00
_cell_angle_beta 90.00
_cell_angle_gamma 90.00
loop_
_space_group_symop_operation_xyz
'x,y,z'
loop_
_atom_site_label
_atom_site_fract_x
_atom_site_fract_y
_atom_site_fract_z
_atom_site_occupancy
Cr1 0.000 0.000 0.000 1
Sn1 0.500 0.500 0.500 1
P1 0.000 0.500 0.000 1
P2 0.500 0.000 0.000 1
O1 0.000 0.000 0.500 1
# ρ	4.7	g/cm³
# energy relative to the lowest polymorph listed for this composition	0.000	eV per atom
# volume	17.6	A^3/atom
# total magnetic moment	1.49	Bohr magnetons per cell